(1)
An optimized crystal structure of BaNdMg2. Source: the Alexandria database, functional PBE. Values from VASP.

Output
The value obtained for the calculated total energy is -2.46 eV per atom. The polymorph energy (0 for the lowest one) is 64 meV per atom.

Quantum ESPRESSO input file:
```
&SYSTEM
  ibrav = 0, nat = 4, ntyp = 3
/
ATOMIC_SPECIES
Mg 24.30 Mg.upf
Ba 137.33 Ba.upf
Nd 144.24 Nd.upf
CELL_PARAMETERS angstrom
5.806 0.000 0.000
2.903 5.029 0.000
2.903 1.676 4.741
ATOMIC_POSITIONS angstrom
Mg 2.903 1.676 1.185
Mg 8.710 5.029 3.556
Ba 5.806 3.352 2.370
Nd 0.000 0.000 0.000
```

=====

(2)
An optimized crystal structure of Ca2TlAg. Source: the Alexandria database, functional PBE. Values from VASP.

Output
The value obtained for the calculated total energy is -2.40 eV per atom.

Quantum ESPRESSO input file:
```
&SYSTEM
  ibrav = 0, nat = 8, ntyp = 3
/
ATOMIC_SPECIES
Ag 107.87 Ag.upf
Ca 40.08 Ca.upf
Tl 204.38 Tl.upf
CELL_PARAMETERS angstrom
-0.109 -4.364 7.192
7.231 3.628 2.311
1.767 2.223 6.297
ATOMIC_POSITIONS angstrom
Ag 6.279 2.741 6.680
Ag 3.561 -0.368 4.752
Ca 4.158 1.472 8.338
Ca 1.280 -1.621 6.197
Ca 7.394 0.941 12.986
Ca 4.945 2.179 4.079
Tl 2.609 -1.255 9.120
Tl 0.000 0.000 0.000
```

=====

Taking the records one at a time from the top gives size of the total moment values of 0.000, 0.000 μB per atom.
Taking the records one at a time from the top gives ΔE_f values of 0.01, -0.09 eV/atom.
Taking the records one at a time from the top gives DOS(E_F) values of 0.986, 0.334 states/eV per atom.